1.
Material: CdSbTe2N
Method: DFT, PBEsol
State: relaxed

Values from the calculation:
Raw formation energy = 449 kJ/mol of formula units

POSCAR file:
```
CdSbTe2N
1.0
-1.668 -3.681 -0.509
0.711 -1.079 5.472
-5.079 2.152 1.085
Sb N Te Cd
1 1 2 1
direct
0.500 0.500 0.500 Sb
0.500 0.000 0.000 N
0.000 0.000 0.500 Te
0.000 0.500 0.000 Te
0.000 0.000 0.000 Cd
```

---

2.
Material: Er4Ge6Ir7
Method: DFT, PBEsol
State: relaxed

Values from the calculation:
Energy of formation from the pure elements = -0.92 eV/atom

POSCAR file:
```
Er4Ge6Ir7
1.0
-4.044 0.924 5.829
-3.888 -3.123 -5.130
5.596 -4.155 1.614
Er Ge Ir
4 6 7
direct
0.000 0.500 0.000 Er
0.000 0.000 0.500 Er
0.500 0.500 0.500 Er
0.500 0.000 0.000 Er
0.316 0.316 0.000 Ge
0.684 0.000 0.684 Ge
0.000 0.316 0.316 Ge
0.684 0.684 0.000 Ge
0.316 0.000 0.316 Ge
0.000 0.684 0.684 Ge
0.250 0.750 0.500 Ir
0.250 0.500 0.750 Ir
0.500 0.250 0.750 Ir
0.750 0.500 0.250 Ir
0.750 0.250 0.500 Ir
0.500 0.750 0.250 Ir
0.000 0.000 0.000 Ir
```

---

3.
Material: BaIr2Os
Method: DFT, PBEsol
State: relaxed

Values from the calculation:
Energy of formation from the pure elements = 0.21 eV/atom
Relative energy among the computed polymorphs = 0.0 kJ per mole of atoms

POSCAR file:
```
BaIr2Os
1.0
4.420 0.000 0.000
2.210 3.827 0.000
2.210 1.276 5.678
Ir Os Ba
2 1 1
direct
0.181 0.181 0.456 Ir
0.819 0.819 0.544 Ir
0.500 0.500 0.500 Os
0.000 0.000 0.000 Ba
```

---

4.
Material: SmTlMo2O8
Method: DFT, PBEsol
State: relaxed

Values from the calculation:
Raw formation energy = -2608 kJ/mol of formula units

POSCAR file:
```
SmTlMo2O8
1.0
6.185 0.000 0.000
0.000 6.185 0.000
0.000 0.000 9.476
Sm Tl Mo O
2 2 4 16
direct
0.500 0.500 0.000 Sm
0.000 0.000 0.500 Sm
0.500 0.500 0.500 Tl
0.000 0.000 0.000 Tl
0.500 0.000 0.250 Mo
0.000 0.500 0.250 Mo
0.500 0.000 0.750 Mo
0.000 0.500 0.750 Mo
0.804 0.383 0.138 O
0.196 0.617 0.138 O
0.383 0.804 0.862 O
0.383 0.196 0.138 O
0.617 0.804 0.138 O
0.196 0.383 0.862 O
0.804 0.617 0.862 O
0.617 0.196 0.862 O
0.883 0.304 0.638 O
0.696 0.883 0.638 O
0.304 0.117 0.638 O
0.883 0.696 0.362 O
0.117 0.304 0.362 O
0.117 0.696 0.638 O
0.304 0.883 0.362 O
0.696 0.117 0.362 O
```